Record 1
! PBE AgHgOF, relaxed; values from VASP
! DOS(E_F), states/eV per atom: 0.771
! Calculated total energy, eV/atom: -3.0473
! Total magnetization, μB per cell: 0.000
&SYSTEM
  ibrav = 0, nat = 8, ntyp = 4
/
ATOMIC_SPECIES
Ag 107.87 Ag.upf
Hg 200.59 Hg.upf
O 16.00 O.upf
F 19.00 F.upf
ATOMIC_POSITIONS crystal
Ag 0.2150 0.2150 0.2150
Ag 0.7850 0.7850 0.7850
Hg 0.3795 0.3795 0.3795
Hg 0.6205 0.6205 0.6205
O 0.2932 0.2932 0.2932
O 0.7068 0.7068 0.7068
F 0.1353 0.1353 0.1353
F 0.8647 0.8647 0.8647
CELL_PARAMETERS angstrom
2.0069 1.1587 9.8670
-2.0069 1.1587 9.8670
0.0000 -2.3174 9.8670

=====

Record 2
! PBE AgHg2OF, relaxed; values from VASP
! DOS(E_F), states/eV per atom: 0.688
! Calculated total energy, eV/atom: -1.8149
! Total magnetization, μB per cell: 0.000
&SYSTEM
  ibrav = 0, nat = 5, ntyp = 4
/
ATOMIC_SPECIES
Ag 107.87 Ag.upf
Hg 200.59 Hg.upf
O 16.00 O.upf
F 19.00 F.upf
ATOMIC_POSITIONS crystal
Ag 0.0000 0.0000 0.0000
Hg 0.0000 0.5000 0.5000
Hg 0.5000 0.0000 0.5000
O 0.5000 0.5000 0.0000
F 0.0000 0.0000 0.5000
CELL_PARAMETERS angstrom
4.9356 0.0000 0.0000
0.0000 4.9356 0.0000
0.0000 0.0000 4.3614

=====

Record 3
! PBE Ag3HgOF2, relaxed; values from VASP
! DOS(E_F), states/eV per atom: 0.144
! Calculated total energy, eV/atom: -3.0497
! Total magnetization, μB per cell: 0.000
&SYSTEM
  ibrav = 0, nat = 14, ntyp = 4
/
ATOMIC_SPECIES
Ag 107.87 Ag.upf
Hg 200.59 Hg.upf
O 16.00 O.upf
F 19.00 F.upf
ATOMIC_POSITIONS crystal
Ag 0.0000 0.0000 0.0000
Ag 0.0000 0.5000 0.1870
Ag 0.0000 0.5000 0.8130
Ag 0.5000 0.0000 0.3130
Ag 0.5000 0.0000 0.6870
Ag 0.5000 0.5000 0.5000
Hg 0.0000 0.0000 0.5000
Hg 0.5000 0.5000 0.0000
O 0.0000 0.5000 0.0000
O 0.5000 0.0000 0.5000
F 0.0000 0.5000 0.3652
F 0.0000 0.5000 0.6348
F 0.5000 0.0000 0.1348
F 0.5000 0.0000 0.8652
CELL_PARAMETERS angstrom
4.6298 0.0000 0.0000
0.0000 4.6840 0.0000
0.0000 0.0000 11.9266

=====

Record 4
! PBE Ag3Hg2O2F3, relaxed; values from VASP
! DOS(E_F), states/eV per atom: 0.881
! Calculated total energy, eV/atom: -3.0149
! Total magnetization, μB per cell: 0.164
&SYSTEM
  ibrav = 0, nat = 10, ntyp = 4
/
ATOMIC_SPECIES
Ag 107.87 Ag.upf
Hg 200.59 Hg.upf
O 16.00 O.upf
F 19.00 F.upf
ATOMIC_POSITIONS crystal
Ag 0.0000 0.0000 0.0000
Ag 0.3905 0.3905 0.0000
Ag 0.6095 0.6095 0.0000
Hg 0.2500 0.7500 0.5000
Hg 0.7500 0.2500 0.5000
O 0.2788 0.2788 0.0000
O 0.7212 0.7212 0.0000
F 0.1099 0.1099 0.0000
F 0.5000 0.5000 0.0000
F 0.8901 0.8901 0.0000
CELL_PARAMETERS angstrom
-2.2669 2.2669 9.6094
2.2669 -2.2669 9.6094
2.2669 2.2669 -9.6094